[1]
Ba2NiSbTe after structural relaxation, computed with GGA-PBE.

Cell and atoms, written as POSCAR:
```
Ba2NiSbTe
1.0
-2.962 3.998 3.723
-2.768 -4.749 2.898
3.523 -0.207 3.025
Sb Ni Ba Te
1 1 2 1
direct
0.000 0.000 0.500 Sb
0.000 0.000 0.000 Ni
0.500 0.000 0.000 Ba
0.000 0.500 0.000 Ba
0.500 0.500 0.500 Te
```

The space group is No. 123. Its total energy is -4.22 eV/atom. As for the density of states at the Fermi level: 2.87 states/eV/f.u. As for the total magnetization: 0.0000 μB per atom. The mass density is 5391 kg/m³.



[2]
BaNiSb2Te after structural relaxation, computed with GGA-PBE.

Cell and atoms, written as POSCAR:
```
BaNiSb2Te
1.0
5.067 0.000 0.000
0.000 5.067 0.000
0.000 0.000 5.648
Ni Te Sb Ba
1 1 2 1
direct
0.000 0.000 0.000 Ni
0.000 0.000 0.500 Te
0.500 0.000 0.000 Sb
0.000 0.500 0.000 Sb
0.500 0.500 0.500 Ba
```

The space group is No. 123. Its total energy is -4.21 eV/atom. As for the density of states at the Fermi level: 5.11 states/eV/f.u. As for the total magnetization: 0.0000 μB per atom. The mass density is 6496 kg/m³.



[3]
Ba2TlNiSb after structural relaxation, computed with GGA-PBE.

Cell and atoms, written as POSCAR:
```
Ba2TlNiSb
1.0
-4.606 2.026 3.449
2.856 -2.018 4.999
2.196 4.225 0.450
Tl Sb Ba Ni
1 1 2 1
direct
0.500 0.500 0.500 Tl
0.000 0.000 0.500 Sb
0.000 0.500 0.000 Ba
0.500 0.000 0.000 Ba
0.000 0.000 0.000 Ni
```

The space group is No. 123. Its total energy is -3.61 eV/atom. As for the density of states at the Fermi level: 2.02 states/eV/f.u. As for the total magnetization: 0.0000 μB per atom. The mass density is 6153 kg/m³.



[4]
BaYNi2Sb after structural relaxation, computed with GGA-PBE.

Cell and atoms, written as POSCAR:
```
BaYNi2Sb
1.0
4.889 0.000 0.000
0.000 6.415 0.000
0.000 0.000 4.889
Sb Ni Ba Y
1 2 1 1
direct
0.500 0.500 0.500 Sb
0.000 0.000 0.500 Ni
0.500 0.000 0.000 Ni
0.000 0.500 0.000 Ba
0.000 0.000 0.000 Y
```

The space group is No. 123. Its total energy is -4.00 eV/atom. As for the density of states at the Fermi level: 3.25 states/eV/f.u. As for the total magnetization: 0.0000 μB per atom. The mass density is 5041 kg/m³.



[5]
BaScNi2 after structural relaxation, computed with GGA-PBE.

Cell and atoms, written as POSCAR:
```
BaScNi2
1.0
-2.516 2.129 0.735
-3.305 -3.391 -1.490
-0.201 -1.829 4.610
Ba Ni Sc
1 2 1
direct
0.500 0.000 0.500 Ba
0.000 0.500 0.500 Ni
0.000 0.000 0.000 Ni
0.500 0.500 0.000 Sc
```

The space group is No. 123. The value obtained for the formation energy is 0.1617 eV per atom. As for the density of states at the Fermi level: 2.55 states/eV/f.u. As for the total magnetization: 0.0000 μB per atom. The mass density is 5980 kg/m³.



[6]
BaScNi2 after structural relaxation, computed with GGA-PBE.

Cell and atoms, written as POSCAR:
```
BaScNi2
1.0
-0.350 -2.503 3.596
-1.769 -4.014 -0.276
4.528 -4.409 0.061
Ba Sc Ni
1 1 2
direct
0.250 0.250 0.250 Ba
0.750 0.750 0.750 Sc
0.054 0.054 0.837 Ni
0.446 0.446 0.663 Ni
```

The space group is No. 166. The value obtained for the formation energy is -0.0867 eV per atom. As for the density of states at the Fermi level: 2.18 states/eV/f.u. As for the total magnetization: 0.0000 μB per atom. The mass density is 5141 kg/m³.



[7]
BaScNi2 after structural relaxation, computed with GGA-PBE.

Cell and atoms, written as POSCAR:
```
BaScNi2
1.0
-1.000 -3.769 0.221
0.539 -0.365 -3.788
6.332 -1.732 -0.891
Ni Ba Sc
2 1 1
direct
0.500 0.047 0.280 Ni
0.000 0.152 0.071 Ni
0.500 0.784 0.809 Ba
0.000 0.517 0.339 Sc
```

The space group is No. 6. The value obtained for the formation energy is -0.0694 eV per atom. As for the density of states at the Fermi level: 2.60 states/eV/f.u. As for the total magnetization: 0.0000 μB per atom. The mass density is 5232 kg/m³.



[8]
BaScNi2 after structural relaxation, computed with GGA-PBE.

Cell and atoms, written as POSCAR:
```
BaScNi2
1.0
4.758 0.000 0.000
2.379 4.121 0.000
2.379 1.374 3.885
Sc Ni Ba
1 2 1
direct
0.750 0.750 0.750 Sc
0.250 0.250 0.250 Ni
0.000 0.000 0.000 Ni
0.500 0.500 0.500 Ba
```

The space group is No. 216. The value obtained for the formation energy is 0.4214 eV per atom. As for the density of states at the Fermi level: 4.25 states/eV/f.u. As for the total magnetization: 0.0000 μB per atom. The mass density is 6533 kg/m³.



[9]
Ba2ScNi2 after structural relaxation, computed with GGA-PBE.

Cell and atoms, written as POSCAR:
```
Ba2ScNi2
1.0
7.362 0.000 0.000
0.000 7.362 0.000
0.000 0.000 4.978
Ba Sc Ni
4 2 4
direct
0.676 0.824 0.500 Ba
0.176 0.676 0.500 Ba
0.824 0.324 0.500 Ba
0.324 0.176 0.500 Ba
0.500 0.500 0.000 Sc
0.000 0.000 0.000 Sc
0.617 0.117 0.000 Ni
0.117 0.383 0.000 Ni
0.383 0.883 0.000 Ni
0.883 0.617 0.000 Ni
```

The space group is No. 127. The value obtained for the formation energy is 0.1568 eV per atom. As for the density of states at the Fermi level: 5.36 states/eV/f.u. As for the total magnetization: 0.0000 μB per atom. The mass density is 5378 kg/m³.



[10]
BaScNi2 after structural relaxation, computed with GGA-PBE.

Cell and atoms, written as POSCAR:
```
BaScNi2
1.0
-1.404 -3.473 -1.672
0.999 -3.620 1.652
-5.807 -2.050 4.108
Ni Ba Sc
2 1 1
direct
0.721 0.721 0.836 Ni
0.054 0.054 0.837 Ni
0.277 0.277 0.170 Ba
0.448 0.448 0.657 Sc
```

The space group is No. 160. The value obtained for the formation energy is -0.0966 eV per atom. As for the density of states at the Fermi level: 4.32 states/eV/f.u. As for the total magnetization: 0.0004 μB per atom. The mass density is 4866 kg/m³.



[11]
BaScNi2 after structural relaxation, computed with GGA-PBE.

Cell and atoms, written as POSCAR:
```
BaScNi2
1.0
3.392 -3.562 -0.060
-0.209 -3.538 -3.412
3.350 -0.146 -3.600
Ba Ni Sc
1 2 1
direct
0.500 0.500 0.500 Ba
0.750 0.750 0.750 Ni
0.250 0.250 0.250 Ni
0.000 0.000 0.000 Sc
```

The space group is No. 225. The value obtained for the formation energy is 0.2000 eV per atom. As for the density of states at the Fermi level: 3.18 states/eV/f.u. As for the total magnetization: 0.0000 μB per atom. The mass density is 5911 kg/m³.



[12]
BaScNi2 after structural relaxation, computed with GGA-PBE.

Cell and atoms, written as POSCAR:
```
BaScNi2
1.0
5.818 0.027 0.000
2.987 4.993 0.000
-4.403 -2.510 2.858
Sc Ba Ni
1 1 2
direct
0.500 0.500 0.000 Sc
0.750 0.250 0.500 Ba
0.000 0.000 0.000 Ni
0.250 0.750 0.500 Ni
```

The space group is No. 119. The value obtained for the formation energy is 0.3491 eV per atom. As for the density of states at the Fermi level: 3.12 states/eV/f.u. As for the total magnetization: 0.0000 μB per atom. The mass density is 6010 kg/m³.



no.,volume (Å³/cell)
1,179.48
2,144.98
3,177.98
4,153.31
5,83.22
6,96.79
7,95.11
8,76.17
9,269.84
10,102.27
11,84.19
12,82.80